No. 1
A relaxed Hf2FeRu crystal. Source: the Alexandria database, functional GGA-PBE.

## Properties
As for the formation energy: 167 meV per atom. For the size of the total moment, the calculation gives 1.46 Bohr magnetons per cell. Its symmetry is I-42d. The value obtained for the volume is 17.5 Å³/atom. The raw total energy is -37.0 eV per formula unit.

Lattice parameters (Å, degrees): 6.925 6.925 5.699 52.58 52.58 90.00
Fractional positions:
1 Ru 0.000 0.000 0.000
2 Ru 0.750 0.250 0.500
3 Hf 0.615 0.125 0.250
4 Hf 0.135 0.625 0.250
5 Hf 0.375 0.385 0.750
6 Hf 0.875 0.865 0.750
7 Fe 0.500 0.500 0.000
8 Fe 0.250 0.750 0.500

No. 2
A relaxed HfFeRu crystal. Source: the Alexandria database, functional GGA-PBE.

## Properties
As for the formation energy: -351 meV per atom. For the size of the total moment, the calculation gives 5.41 Bohr magnetons per cell. Its symmetry is Cmcm. The value obtained for the volume is 15.6 Å³/atom. The raw total energy is -28.7 eV per formula unit.

Lattice parameters (Å, degrees): 3.210 4.312 6.937 90.00 103.38 90.00
Fractional positions:
1 Ru 0.586 0.250 0.172
2 Ru 0.414 0.750 0.828
3 Hf 0.910 0.250 0.820
4 Hf 0.090 0.750 0.180
5 Fe 0.244 0.250 0.487
6 Fe 0.756 0.750 0.513

No. 3
A relaxed HfFe2Ru4 crystal. Source: the Alexandria database, functional GGA-PBE.

## Properties
As for the formation energy: 1394 meV per atom. For the size of the total moment, the calculation gives 10.15 Bohr magnetons per cell. Its symmetry is I4/mmm. The value obtained for the volume is 19.2 Å³/atom. The raw total energy is -54.2 eV per formula unit.

Lattice parameters (Å, degrees): 4.701 4.701 6.940 70.20 70.20 90.00
Fractional positions:
1 Ru 0.790 0.790 0.420
2 Ru 0.210 0.210 0.580
3 Ru 0.000 0.500 0.000
4 Ru 0.500 0.000 0.000
5 Hf 0.000 0.000 0.000
6 Fe 0.601 0.601 0.797
7 Fe 0.399 0.399 0.203